Here is a relaxed CaZrNpO6 crystal from Alexandria. Energies are from PBE-GGA.

Lattice parameters (Å, degrees): 5.636 5.636 9.792 90.00 90.00 120.00
Each line ends with the local moment (μB).
Sites, in units of the cell vectors:
Ca 0.000 0.000 0.000  0.00
Ca 0.000 0.000 0.500  0.00
Zr 0.333 0.667 0.250  0.00
Zr 0.667 0.333 0.750  0.00
Np 0.667 0.333 0.250  1.20
Np 0.333 0.667 0.750  1.20
O 0.642 0.635 0.140  -0.03
O 0.993 0.358 0.140  -0.03
O 0.358 0.993 0.640  -0.03
O 0.007 0.642 0.860  -0.03
O 0.365 0.358 0.360  -0.03
O 0.993 0.635 0.360  -0.03
O 0.635 0.993 0.860  -0.03
O 0.642 0.007 0.360  -0.03
O 0.007 0.365 0.640  -0.03
O 0.365 0.007 0.140  -0.03
O 0.635 0.642 0.640  -0.03
O 0.358 0.365 0.860  -0.03

Magnetic moment (μB/atom): 0.111
Electronic total energy (eV per atom): -8.962
Crystal system: trigonal